The following is a PBE-GGA calculation of K2P2S5 after structural relaxation, from Alexandria.

Summary:
Crystal system: monoclinic
Raw formation energy: -0.50 eV/atom

extended XYZ file:
```
9
Lattice="4.8868 0.0000 0.0000 -2.4434 6.3832 -0.3407 0.0000 -1.3390 7.6629" Properties=species:S:1:pos:R:3 pbc="T T T"
K 0.0000 4.3409 4.9051
K 2.4434 0.7033 2.4170
P 0.0000 0.8265 6.7801
P 2.4434 4.2177 0.5421
S 0.0000 4.1194 0.0133
S 2.4434 0.9249 7.3089
S 0.0000 0.9028 4.7657
S 2.4434 4.1414 2.5565
S 0.0000 0.0000 0.0000
```

---

The following is a PBE-GGA calculation of KPS6 after structural relaxation, from Alexandria.

Summary:
Crystal system: monoclinic
Raw formation energy: 0.06 eV/atom

extended XYZ file:
```
8
Lattice="-3.3153 0.0715 1.1221 -1.2502 -3.5376 -9.1970 1.7245 -5.8231 6.0010" Properties=species:S:1:pos:R:3 pbc="T T T"
K 0.8623 -2.9116 3.0005
P 0.0000 0.0000 0.0000
S -1.3224 -0.9808 1.5962
S -0.6596 -5.6361 1.6761
S -0.2684 -4.7708 5.5268
S -2.4201 -4.7837 1.3451
S -2.1814 -3.6532 -3.7500
S -0.4209 -4.5055 -3.4190
```

---

The following is a PBE-GGA calculation of K8P2S after structural relaxation, from Alexandria.

Summary:
Crystal system: monoclinic
Raw formation energy: -0.39 eV/atom

extended XYZ file:
```
11
Lattice="-3.6249 4.2291 -0.0520 -4.8660 -7.8470 -0.6365 1.1416 1.1008 9.9413" Properties=species:S:1:pos:R:3 pbc="T T T"
K -5.5634 -4.7430 2.0784
K -4.4755 -0.1623 0.4368
K -5.2458 -0.7793 3.9525
K -6.4241 -1.7398 7.9681
K -2.1034 -1.7377 5.3002
K -2.8738 -2.3547 8.8160
K -1.7858 2.2260 7.1743
K -0.9252 -0.7772 1.2847
P -4.1371 0.2090 7.0408
P -3.2122 -2.7260 2.2120
S -1.8124 2.1145 -0.0260
```